1.
The following is a DFT calculation (GGA+U) of an optimized crystal structure of MoP2OsO.

Values from the calculation:
Raw total energy, eV per atom: -6.486
Size of the total moment, μB per formula unit: 3.7

Unit cell a=4.8312 b=4.8312 c=3.6564 alpha=90.00 beta=90.00 gamma=90.00
Last column: nearest neighbours and their distance in Å.
Element x y z (fractional)
P 0.0000 0.5000 0.0000  2 Os 2.42
P 0.5000 0.0000 0.0000  2 Os 2.42
Mo 0.5000 0.5000 0.5000  8 P 3.03
Os 0.0000 0.0000 0.0000  2 O 1.83
O 0.0000 0.0000 0.5000  2 Os 1.83

---

2.
The following is a DFT calculation (GGA+U) of an optimized crystal structure of MoOsPb2O6.

Values from the calculation:
Raw total energy, eV per atom: -6.718
Size of the total moment, μB per formula unit: 0.0

Unit cell a=5.7636 b=5.7636 c=5.7636 alpha=60.00 beta=60.00 gamma=60.00
Last column: nearest neighbours and their distance in Å.
Element x y z (fractional)
Mo 0.0000 0.0000 0.0000  6 O 2.10
Os 0.5000 0.5000 0.5000  6 O 1.97
Pb 0.2500 0.2500 0.2500  12 O 2.88
Pb 0.7500 0.7500 0.7500  12 O 2.88
O 0.2581 0.7419 0.7419  1 Os 1.97, 1 Mo 2.10
O 0.7419 0.2581 0.2581  1 Os 1.97, 1 Mo 2.10
O 0.2581 0.7419 0.2581  1 Os 1.97, 1 Mo 2.10
O 0.7419 0.2581 0.7419  1 Os 1.97, 1 Mo 2.10
O 0.7419 0.7419 0.2581  1 Os 1.97, 1 Mo 2.10
O 0.2581 0.2581 0.7419  1 Os 1.97, 1 Mo 2.10

---

3.
The following is a DFT calculation (GGA+U) of an optimized crystal structure of MoOsPd2O.

Values from the calculation:
Raw total energy, eV per atom: -5.665
Size of the total moment, μB per formula unit: 2.2

Unit cell a=4.9479 b=3.6927 c=4.9479 alpha=90.00 beta=90.00 gamma=90.00
Last column: nearest neighbours and their distance in Å.
Element x y z (fractional)
Mo 0.0000 0.0000 0.0000  2 O 1.85
Os 0.5000 0.5000 0.5000  8 Pd 3.09
O 0.0000 0.5000 0.0000  2 Mo 1.85
Pd 0.0000 0.0000 0.5000  2 Mo 2.47
Pd 0.5000 0.0000 0.0000  2 Mo 2.47

---

4.
The following is a DFT calculation (GGA+U) of an optimized crystal structure of Pm2MoOsO8.

Values from the calculation:
Raw total energy, eV per atom: -7.733
Size of the total moment, μB per formula unit: 2.0

Unit cell a=4.8480 b=4.8491 c=6.8391 alpha=89.96 beta=89.95 gamma=92.41
Last column: nearest neighbours and their distance in Å.
Element x y z (fractional)
Pm 0.4385 0.4387 0.7520  6 O 2.27-2.39
Pm 0.5615 0.5613 0.2480  6 O 2.27-2.39
Mo 0.0000 0.0000 0.5000  6 O 1.90-2.12
Os 0.0000 0.0000 0.0000  2 O 1.86
O 0.1330 0.7882 0.2488  1 Os 2.10, 1 Mo 2.12
O 0.7265 0.7260 0.9554  1 Os 1.86
O 0.7878 0.1324 0.2489  1 Os 2.10, 1 Mo 2.12
O 0.8670 0.2118 0.7512  1 Os 2.10, 1 Mo 2.12
O 0.2735 0.2740 0.0446  1 Os 1.86
O 0.2122 0.8676 0.7511  1 Os 2.10, 1 Mo 2.12
O 0.7203 0.7196 0.5406  1 Mo 1.90
O 0.2797 0.2804 0.4594  1 Mo 1.90

---

5.
The following is a DFT calculation (GGA+U) of an optimized crystal structure of Rb2MoOsO6.

Values from the calculation:
Raw total energy, eV per atom: -6.317
Size of the total moment, μB per formula unit: 3.0

Unit cell a=5.5809 b=5.5809 c=6.3907 alpha=64.10 beta=64.10 gamma=90.00
Last column: nearest neighbours and their distance in Å.
Element x y z (fractional)
Rb 0.7500 0.2500 0.5000  12 O 2.87-3.20
Rb 0.2500 0.7500 0.5000  12 O 2.87-3.20
Mo 0.5000 0.5000 0.0000  4 O 2.00
Os 0.0000 0.0000 0.0000  6 O 1.85-1.94
O 0.1842 0.1842 0.6317  1 Os 1.85
O 0.7537 0.7537 0.0000  1 Os 1.94, 1 Mo 2.00
O 0.2463 0.7537 0.0000  1 Os 1.94, 1 Mo 2.00
O 0.7537 0.2463 0.0000  1 Os 1.94, 1 Mo 2.00
O 0.2463 0.2463 0.0000  1 Os 1.94, 1 Mo 2.00
O 0.8158 0.8158 0.3683  1 Os 1.85

---

6.
The following is a DFT calculation (GGA+U) of an optimized crystal structure of RbMoOs2O8.

Values from the calculation:
Raw total energy, eV per atom: -6.986
Size of the total moment, μB per formula unit: 1.0

Unit cell a=5.6578 b=5.6578 c=8.1753 alpha=90.00 beta=90.00 gamma=120.00
Last column: nearest neighbours and their distance in Å.
Element x y z (fractional)
Rb 0.0000 0.0000 0.0000  12 O 3.28-3.30
Mo 0.0000 0.0000 0.5000  6 O 2.10
Os 0.6667 0.3333 0.2710  4 O 1.77-1.82
Os 0.3333 0.6667 0.7290  4 O 1.77-1.82
O 0.3333 0.6667 0.9456  1 Os 1.77
O 0.3281 0.2450 0.3451  1 Os 1.82
O 0.7550 0.0832 0.3451  1 Os 1.82
O 0.6667 0.3333 0.0544  1 Os 1.77
O 0.2450 0.9168 0.6549  1 Os 1.82
O 0.6719 0.7550 0.6549  1 Os 1.82
O 0.0832 0.3281 0.6549  1 Os 1.82
O 0.9168 0.6719 0.3451  1 Os 1.82

---

7.
The following is a DFT calculation (GGA+U) of an optimized crystal structure of ScMoOsO2.

Values from the calculation:
Raw total energy, eV per atom: -7.398
Size of the total moment, μB per formula unit: 0.0

Unit cell a=3.8753 b=5.1734 c=3.8753 alpha=90.00 beta=90.00 gamma=90.00
Last column: nearest neighbours and their distance in Å.
Element x y z (fractional)
Sc 0.5000 0.5000 0.5000  4 Os 2.74
Mo 0.0000 0.0000 0.0000  4 O 1.94
Os 0.0000 0.5000 0.0000  2 Mo 2.59, 4 Sc 2.74
O 0.0000 0.0000 0.5000  2 Mo 1.94
O 0.5000 0.0000 0.0000  2 Mo 1.94

---

8.
The following is a DFT calculation (GGA+U) of an optimized crystal structure of Sn2MoOsO6.

Values from the calculation:
Raw total energy, eV per atom: -6.673
Size of the total moment, μB per formula unit: 0.0

Unit cell a=5.7374 b=5.7374 c=5.7374 alpha=60.00 beta=60.00 gamma=60.00
Last column: nearest neighbours and their distance in Å.
Element x y z (fractional)
Sn 0.2500 0.2500 0.2500  12 O 2.87
Sn 0.7500 0.7500 0.7500  12 O 2.87
Mo 0.0000 0.0000 0.0000  6 O 2.09
Os 0.5000 0.5000 0.5000  6 O 1.96
O 0.2580 0.7420 0.7420  1 Os 1.96, 1 Mo 2.09
O 0.7420 0.2580 0.2580  1 Os 1.96, 1 Mo 2.09
O 0.7420 0.2580 0.7420  1 Os 1.96, 1 Mo 2.09
O 0.2580 0.7420 0.2580  1 Os 1.96, 1 Mo 2.09
O 0.2580 0.2580 0.7420  1 Os 1.96, 1 Mo 2.09
O 0.7420 0.7420 0.2580  1 Os 1.96, 1 Mo 2.09

---

9.
The following is a DFT calculation (GGA+U) of an optimized crystal structure of SrMoOsO6.

Values from the calculation:
Raw total energy, eV per atom: -7.242
Size of the total moment, μB per formula unit: 4.0

Unit cell a=5.3298 b=5.3576 c=5.3576 alpha=120.00 beta=90.00 gamma=90.00
Last column: nearest neighbours and their distance in Å.
Element x y z (fractional)
Sr 0.0000 0.3333 0.6667  6 O 2.58
Mo 0.5000 0.6667 0.3333  6 O 2.02
Os 0.5000 0.0000 0.0000  6 O 1.98
O 0.7045 0.7172 0.6724  1 Os 1.98, 1 Mo 2.02
O 0.7045 0.3276 0.0447  1 Os 1.98, 1 Mo 2.02
O 0.7045 0.9553 0.2828  1 Os 1.98, 1 Mo 2.02
O 0.2955 0.3276 0.2828  1 Os 1.98, 1 Mo 2.02
O 0.2955 0.7172 0.0447  1 Os 1.98, 1 Mo 2.02
O 0.2955 0.9553 0.6724  1 Os 1.98, 1 Mo 2.02

---

10.
The following is a DFT calculation (GGA+U) of an optimized crystal structure of Sr2MoOsO8.

Values from the calculation:
Raw total energy, eV per atom: -6.903
Size of the total moment, μB per formula unit: 1.6

Unit cell a=5.2752 b=5.2656 c=6.5209 alpha=89.97 beta=90.03 gamma=91.21
Last column: nearest neighbours and their distance in Å.
Element x y z (fractional)
Sr 0.4989 0.4989 0.7495  6 O 2.44-2.51
Sr 0.5011 0.5011 0.2505  6 O 2.44-2.51
Mo 0.0000 0.0000 0.5000  2 O 1.87
Os 0.0000 0.0000 0.0000  6 O 1.82-1.97
O 0.1645 0.8314 0.2326  1 Os 1.97, 1 Mo 2.15
O 0.7511 0.7543 0.9989  1 Os 1.82
O 0.8341 0.1673 0.2323  1 Os 1.97, 1 Mo 2.15
O 0.8355 0.1686 0.7674  1 Os 1.97, 1 Mo 2.15
O 0.2489 0.2457 0.0011  1 Os 1.82
O 0.1659 0.8327 0.7677  1 Os 1.97, 1 Mo 2.15
O 0.7456 0.7484 0.5010  1 Mo 1.87
O 0.2544 0.2516 0.4990  1 Mo 1.87

---

11.
The following is a DFT calculation (GGA+U) of an optimized crystal structure of TlMoOs2O8.

Values from the calculation:
Raw total energy, eV per atom: -6.930
Size of the total moment, μB per formula unit: 1.0

Unit cell a=5.6368 b=5.6368 c=8.0441 alpha=90.00 beta=90.00 gamma=120.00
Last column: nearest neighbours and their distance in Å.
Element x y z (fractional)
Tl 0.0000 0.0000 0.0000  12 O 3.22-3.28
Mo 0.0000 0.0000 0.5000  6 O 2.10
Os 0.6667 0.3333 0.2671  4 O 1.77-1.82
Os 0.3333 0.6667 0.7329  4 O 1.77-1.82
O 0.3333 0.6667 0.9530  1 Os 1.77
O 0.3281 0.2494 0.3422  1 Os 1.82
O 0.7506 0.0786 0.3422  1 Os 1.82
O 0.6667 0.3333 0.0470  1 Os 1.77
O 0.2494 0.9214 0.6578  1 Os 1.82
O 0.6719 0.7506 0.6578  1 Os 1.82
O 0.0786 0.3281 0.6578  1 Os 1.82
O 0.9214 0.6719 0.3422  1 Os 1.82

---

12.
The following is a DFT calculation (GGA+U) of an optimized crystal structure of Mo2P4O15.

Values from the calculation:
Raw total energy, eV per atom: -7.233
Size of the total moment, μB per formula unit: 2.0

Unit cell a=6.7907 b=8.4612 c=11.0921 alpha=74.25 beta=90.00 gamma=90.00
Last column: nearest neighbours and their distance in Å.
Element x y z (fractional)
Mo 0.9912 0.2011 0.3441  1 O 1.70
Mo 0.4912 0.7976 0.1582  1 O 1.69
Mo 0.5088 0.7976 0.6582  1 O 1.69
Mo 0.0088 0.2011 0.8441  1 O 1.70
P 0.3042 0.1811 0.1023  4 O 1.52-1.61
P 0.8043 0.8176 0.4000  4 O 1.52-1.61
P 0.1957 0.8176 0.9000  4 O 1.52-1.61
P 0.6958 0.1811 0.6023  4 O 1.52-1.61
P 0.6259 0.4165 0.1223  4 O 1.50-1.59
P 0.1258 0.5820 0.3800  4 O 1.50-1.59
P 0.8742 0.5820 0.8800  4 O 1.50-1.59
P 0.3741 0.4165 0.6223  4 O 1.50-1.59
O 0.9137 0.9731 0.3282  1 P 1.53
O 0.4133 0.0256 0.1742  1 P 1.53
O 0.5867 0.0256 0.6742  1 P 1.53
O 0.0863 0.9731 0.8282  1 P 1.53
O 0.7760 0.1729 0.4766  1 P 1.52
O 0.2759 0.8258 0.0257  1 P 1.52
O 0.7241 0.8258 0.5257  1 P 1.52
O 0.2240 0.1729 0.9766  1 P 1.52
O 0.1855 0.1540 0.4433  1 Mo 1.70
O 0.6853 0.8450 0.0589  1 Mo 1.69
O 0.3147 0.8450 0.5589  1 Mo 1.69
O 0.8145 0.1540 0.9433  1 Mo 1.70
O 0.4665 0.3246 0.0615  2 P 1.59-1.61
O 0.9666 0.6740 0.4408  2 P 1.59-1.61
O 0.0334 0.6740 0.9408  2 P 1.59-1.61
O 0.5335 0.3246 0.5615  2 P 1.59-1.61
O 0.0227 0.4528 0.3325  1 P 1.51
O 0.5231 0.5460 0.1696  1 P 1.51
O 0.4769 0.5460 0.6696  1 P 1.51
O 0.9773 0.4528 0.8325  1 P 1.51
O 0.1531 0.2395 0.1817  1 P 1.52
O 0.6532 0.7594 0.3205  1 P 1.52
O 0.3468 0.7594 0.8205  1 P 1.52
O 0.8469 0.2395 0.6817  1 P 1.52
O 0.7500 0.2961 0.2151  1 P 1.50
O 0.2502 0.7023 0.2872  1 P 1.50
O 0.7498 0.7023 0.7872  1 P 1.50
O 0.2500 0.2961 0.7151  1 P 1.50
O 0.7501 0.4991 0.0012  2 P 1.58
O 0.2499 0.4991 0.5012  2 P 1.58

---

Which formula does entry 11 have?
TlMoOs2O8

---

Number 12 is which compound?
Mo2P4O15